# 1
## ScAl2Te (PBE)

Data for a relaxed structure of ScAl2Te.

It has space group R3m (No. 160, hexagonal axes), with a = 3.7598 Å, b = 3.7598 Å, c = 22.9945 Å, α = 90.00°, β = 90.00° and γ = 120.00°. The distinct sites, in fractional coordinates, are Sc at (0.0000, 0.0000, 0.0000), Al at (0.0000, 0.0000, 0.4933), Al at (0.0000, 0.0000, 0.7554) and Te at (0.0000, 0.0000, 0.2498).

The total energy is -0.3260 Ry per atom. The crystal system is trigonal. The calculation puts the energy relative to the elements, uncorrected at -4.53 kcal/mol of atoms. The value obtained for the density of states at the Fermi level is 2.271 states/eV/f.u.

=====

# 2
## Sc2AlTe6 (PBE)

Data for a relaxed structure of Sc2AlTe6.

It has space group P4_2/mnm (No. 136), with a = 6.7410 Å, b = 6.7410 Å, c = 12.5742 Å, α = 90.00°, β = 90.00° and γ = 90.00°. The distinct sites, in fractional coordinates, are Sc at (0.0000, 0.0000, 0.1614), Al at (0.0000, 0.0000, 0.5000), Te at (0.1970, 0.1970, 0.3360) and Te at (0.2113, 0.2113, 0.0000).

The total energy is -0.3303 Ry per atom. The crystal system is tetragonal. The calculation puts the energy relative to the elements, uncorrected at -13.30 kcal/mol of atoms. The value obtained for the density of states at the Fermi level is 8.965 states/eV/f.u.

=====

# 3
## Sc2Al2Te (PBE)

Data for a relaxed structure of Sc2Al2Te.

It has space group P4/mbm (No. 127), with a = 7.3937 Å, b = 7.3937 Å, c = 3.9675 Å, α = 90.00°, β = 90.00° and γ = 90.00°. The distinct sites, in fractional coordinates, are Sc at (0.1720, 0.3280, 0.0000), Al at (0.1217, 0.6217, 0.5000) and Te at (0.0000, 0.0000, 0.5000).

The total energy is -0.3684 Ry per atom. The crystal system is tetragonal. The calculation puts the energy relative to the elements, uncorrected at -8.18 kcal/mol of atoms. The value obtained for the density of states at the Fermi level is 1.727 states/eV/f.u. The value obtained for the energy above the lowest structure with this stoichiometry is 0.045 eV/atom.

=====

# 4
## ScAl2Te (PBE)

Data for a relaxed structure of ScAl2Te.

It has space group I-42d (No. 122), with a = 8.0402 Å, b = 8.0402 Å, c = 5.7198 Å, α = 90.00°, β = 90.00° and γ = 90.00°. The distinct sites, in fractional coordinates, are Sc at (0.0000, 0.0000, 0.0000), Al at (0.2422, 0.2500, 0.6250) and Te at (0.0000, 0.0000, 0.5000).

The total energy is -0.3159 Ry per atom. The crystal system is tetragonal. The calculation puts the energy relative to the elements, uncorrected at -1.34 kcal/mol of atoms. The value obtained for the density of states at the Fermi level is 3.667 states/eV/f.u.

=====

# 5
## ScAl2Te (PBE)

Data for a relaxed structure of ScAl2Te.

It has space group P4mm (No. 99), with a = 3.7510 Å, b = 3.7510 Å, c = 6.0067 Å, α = 90.00°, β = 90.00° and γ = 90.00°. The distinct sites, in fractional coordinates, are Sc at (0.0000, 0.0000, 0.0000), Al at (0.0000, 0.0000, 0.5275), Al at (0.5000, 0.5000, 0.7332) and Te at (0.5000, 0.5000, 0.2350).

The total energy is -0.3351 Ry per atom. The crystal system is tetragonal. The calculation puts the energy relative to the elements, uncorrected at -7.36 kcal/mol of atoms. The value obtained for the density of states at the Fermi level is 1.993 states/eV/f.u.

=====

# 6
## ScAlTe (PBE)

Data for a relaxed structure of ScAlTe.

It has space group I4mm (No. 107), with a = 3.6739 Å, b = 3.6739 Å, c = 9.6473 Å, α = 90.00°, β = 90.00° and γ = 90.00°. The distinct sites, in fractional coordinates, are Sc at (0.0000, 0.0000, 0.0000), Al at (0.0000, 0.0000, 0.6598) and Te at (0.0000, 0.0000, 0.3399).

The total energy is -0.3598 Ry per atom. The crystal system is tetragonal. The calculation puts the energy relative to the elements, uncorrected at -11.29 kcal/mol of atoms. The value obtained for the density of states at the Fermi level is 2.167 states/eV/f.u.

=====

# 7
## ScAlTl2Te (PBE)

Data for a relaxed structure of ScAlTl2Te.

It has space group P4/mmm (No. 123), with a = 5.7203 Å, b = 5.7203 Å, c = 5.4444 Å, α = 90.00°, β = 90.00° and γ = 90.00°. The distinct sites, in fractional coordinates, are Sc at (0.0000, 0.0000, 0.0000), Al at (0.5000, 0.5000, 0.5000), Tl at (0.0000, 0.5000, 0.0000) and Te at (0.0000, 0.0000, 0.5000).

The total energy is -0.2447 Ry per atom. The crystal system is tetragonal. The calculation puts the energy relative to the elements, uncorrected at 6.01 kcal/mol of atoms. The value obtained for the density of states at the Fermi level is 4.925 states/eV/f.u.

=====

# 8
## Sc2AlTeW (PBE)

Data for a relaxed structure of Sc2AlTeW.

It has space group P4/mmm (No. 123), with a = 5.0031 Å, b = 5.0031 Å, c = 4.9619 Å, α = 90.00°, β = 90.00° and γ = 90.00°. The distinct sites, in fractional coordinates, are Sc at (0.0000, 0.5000, 0.0000), Al at (0.0000, 0.0000, 0.0000), Te at (0.0000, 0.0000, 0.5000) and W at (0.5000, 0.5000, 0.5000).

The total energy is -0.3812 Ry per atom. The crystal system is tetragonal. The calculation puts the energy relative to the elements, uncorrected at 30.31 kcal/mol of atoms. The value obtained for the density of states at the Fermi level is 7.468 states/eV/f.u.

=====

# 9
## ThSc12Al3 (PBE)

Data for a relaxed structure of ThSc12Al3.

It has space group P4/mmm (No. 123), with a = 4.4882 Å, b = 4.4882 Å, c = 18.0773 Å, α = 90.00°, β = 90.00° and γ = 90.00°. The distinct sites, in fractional coordinates, are Th at (0.0000, 0.0000, 0.0000), Sc at (0.0000, 0.5000, 0.1360), Sc at (0.0000, 0.5000, 0.3787), Sc at (0.5000, 0.5000, 0.0000), Sc at (0.5000, 0.5000, 0.2600), Sc at (0.5000, 0.5000, 0.5000), Al at (0.0000, 0.0000, 0.2582) and Al at (0.0000, 0.0000, 0.5000).

The total energy is -0.4458 Ry per atom. The calculation puts the formation enthalpy at 0 K at -0.152 eV per atom. The crystal system is tetragonal. The value obtained for the density of states at the Fermi level is 24.776 states/eV/f.u.

=====

# 10
## ThScAl (PBE)

Data for a relaxed structure of ThScAl.

It has space group P3m1 (No. 156), with a = 5.1413 Å, b = 5.1413 Å, c = 3.1179 Å, α = 90.00°, β = 90.00° and γ = 120.00°. The distinct sites, in fractional coordinates, are Th at (0.0000, 0.0000, 0.0000), Sc at (0.6667, 0.3333, 0.0040) and Al at (0.3333, 0.6667, 0.4999).

The total energy is -0.4225 Ry per atom. The calculation puts the formation enthalpy at 0 K at 0.084 eV per atom. The crystal system is trigonal. The value obtained for the density of states at the Fermi level is 3.041 states/eV/f.u. The value obtained for the energy above the lowest structure with this stoichiometry is 0.341 eV/atom.

=====

# 11
## Th3ScAl8 (PBE)

Data for a relaxed structure of Th3ScAl8.

It has space group R3m (No. 160, hexagonal axes), with a = 5.6353 Å, b = 5.6353 Å, c = 27.5288 Å, α = 90.00°, β = 90.00° and γ = 120.00°. The distinct sites, in fractional coordinates, are Th at (0.0000, 0.0000, 0.0000), Th at (0.0000, 0.0000, 0.1267), Th at (0.0000, 0.0000, 0.5019), Sc at (0.0000, 0.0000, 0.6260), Al at (0.0000, 0.0000, 0.3129), Al at (0.0000, 0.0000, 0.8142), Al at (0.0008, 0.5004, 0.5647) and Al at (0.1673, 0.3345, 0.3954).

The total energy is -0.3891 Ry per atom. The calculation puts the formation enthalpy at 0 K at -0.417 eV per atom. The crystal system is trigonal. The value obtained for the density of states at the Fermi level is 7.506 states/eV/f.u.

=====

# 12
## ThScAl (PBE)

Data for a relaxed structure of ThScAl.

It has space group Cmcm (No. 63), with a = 3.2100 Å, b = 20.5150 Å, c = 4.4517 Å, α = 90.00°, β = 90.00° and γ = 90.00°. The distinct sites, in fractional coordinates, are Th at (0.0000, 0.1928, 0.2500), Sc at (0.0000, 0.0453, 0.2500) and Al at (0.0000, 0.4009, 0.2500).

The total energy is -0.4351 Ry per atom. The calculation puts the formation enthalpy at 0 K at -0.088 eV per atom. The crystal system is orthorhombic. The value obtained for the density of states at the Fermi level is 2.795 states/eV/f.u. The value obtained for the energy above the lowest structure with this stoichiometry is 0.169 eV/atom.

=====

Question: Among the records above, which one has the lowest density of states at the Fermi level?
Answer: Sc2Al2Te